No. 1
KTlZnF4: optimized geometry, GGA-PBE.

Geometry as POSCAR:
```
KTlZnF4
1.0
-2.088 2.088 6.808
2.088 -2.088 6.808
2.088 2.088 -6.808
K Tl Zn F
1 1 1 4
Cartesian
0.000 0.000 0.000 K
0.000 0.000 3.998 Tl
0.000 0.000 8.776 Zn
2.088 0.000 1.932 F
0.000 0.000 6.738 F
0.000 2.088 1.932 F
0.000 0.000 10.834 F
```

Magnetic moment ... 0.0 μB/cell

No. 2
LiPm3Sc2S6: optimized geometry, GGA-PBE.

Geometry as POSCAR:
```
LiPm3Sc2S6
1.0
3.341 -5.798 0.000
3.341 5.798 0.000
-2.239 0.000 6.345
Li Pm Sc S
1 3 2 6
Cartesian
0.000 0.000 0.000 Li
2.222 3.895 3.172 Pm
2.222 0.000 3.172 Pm
2.222 -3.895 3.172 Pm
3.341 1.917 0.000 Sc
3.341 -1.917 0.000 Sc
1.110 1.936 1.430 S
-0.018 0.000 4.945 S
1.110 -1.936 1.430 S
3.334 1.936 4.915 S
4.462 0.000 1.400 S
3.334 -1.936 4.915 S
```

Magnetic moment ... 0.0 μB/cell

no.,DOS(E_F) (states/eV per cell),formation energy from raw total energies (kJ/mol of formula units)
1,0.0,-1568.4
2,5.1,-2204.9